[1]
A geometry-optimized TaMoS3 structure. Source: Alexandria via LeMat-Bulk, functional GGA-PBE.

a = 4.5952 Å, b = 4.5952 Å, c = 4.5952 Å
α = 90.00°, β = 90.00°, γ = 90.00°
Last column: nearest neighbours and their distance in Å.
Space group Pm-3m (No. 221)
Unique sites:
Ta  0.0000  0.0000  0.0000 x1  12 S 3.25
Mo  0.5000  0.5000  0.5000 x1  6 S 2.30
S  0.0000  0.5000  0.5000 x3  2 Mo 2.30

Output
Formation energy (no corrections), eV/atom: 0.74
E, eV/atom: -6.273
Energy relative to the lowest polymorph listed for this composition, meV per atom: 1372


[2]
A geometry-optimized TaMoS3 structure. Source: Alexandria via LeMat-Bulk, functional GGA-PBE.

a = 6.7453 Å, b = 7.3231 Å, c = 7.7515 Å
α = 85.30°, β = 78.45°, γ = 80.70°
Last column: nearest neighbours and their distance in Å.
Space group P-1 (No. 2)
Unique sites:
Ta  0.2346  0.4518  0.0311 x2  5 S 2.45-2.61
Ta  0.2490  0.7466  0.7046 x2  5 S 2.30-2.52
Mo  0.0442  0.8187  0.1111 x2  5 S 2.38-2.49
Mo  0.4606  0.3760  0.6528 x2  6 S 2.42-2.67
S  0.0945  0.4506  0.7608 x2  2 Mo 2.38-2.43, 3 Ta 2.47-2.52
S  0.1115  0.1353  0.1451 x2  2 Mo 2.40-2.48, 2 Ta 2.52-2.61
S  0.1794  0.7865  0.4238 x2  1 Ta 2.30, 1 Mo 2.50
S  0.3011  0.0626  0.7317 x2  1 Ta 2.43, 2 Mo 2.46-2.67
S  0.3812  0.3481  0.3619 x2  2 Mo 2.42-2.45, 1 Ta 2.44
S  0.4202  0.7141  0.0649 x2  2 Ta 2.45-2.51, 2 Mo 2.48-2.49

Output
Formation energy (no corrections), eV/atom: -0.63
E, eV/atom: -7.644
Energy relative to the lowest polymorph listed for this composition, meV per atom: 0


[3]
A geometry-optimized TaMoS2 structure. Source: Alexandria via LeMat-Bulk, functional GGA-PBE.

a = 3.0893 Å, b = 3.0893 Å, c = 24.6159 Å
α = 90.00°, β = 90.00°, γ = 120.00°
Last column: nearest neighbours and their distance in Å.
Space group R-3m (No. 166, hexagonal axes)
Unique sites:
Ta  0.0000  0.0000  0.0000 x3  6 S 2.48
Mo  0.0000  0.0000  0.5000 x3  2 S 2.38
S  0.0000  0.0000  0.4033 x6  1 Mo 2.38, 3 Ta 2.48

Output
Formation energy (no corrections), eV/atom: -0.32
E, eV/atom: -8.056
Energy relative to the lowest polymorph listed for this composition, meV per atom: 0


[4]
A geometry-optimized TaMoS2 structure. Source: Alexandria via LeMat-Bulk, functional GGA-PBE.

a = 6.1070 Å, b = 6.1070 Å, c = 6.1070 Å
α = 90.00°, β = 90.00°, γ = 90.00°
Last column: nearest neighbours and their distance in Å.
Space group Fm-3m (No. 225)
Unique sites:
Ta  0.0000  0.0000  0.0000 x4  8 S 2.64
Mo  0.0000  0.0000  0.5000 x4  8 S 2.64
S  0.2500  0.2500  0.2500 x8  4 Ta 2.64, 4 Mo 2.64

Output
Formation energy (no corrections), eV/atom: -0.26
E, eV/atom: -7.991
Energy relative to the lowest polymorph listed for this composition, meV per atom: 65


[5]
A geometry-optimized TaMoS3 structure. Source: Alexandria via LeMat-Bulk, functional GGA-PBE.

a = 6.7626 Å, b = 9.3207 Å, c = 6.4341 Å
α = 90.00°, β = 90.00°, γ = 90.00°
Last column: nearest neighbours and their distance in Å.
Space group Pnma (No. 62)
Unique sites:
Ta  0.2328  0.2500  0.0293 x4  4 S 2.29-2.40
Mo  0.0000  0.0000  0.5000 x4  6 S 2.44-2.54
S  0.0601  0.2500  0.3553 x4  2 Ta 2.33-2.40, 2 Mo 2.54
S  0.1843  0.0562  0.8160 x8  1 Ta 2.29, 2 Mo 2.44-2.50

Output
Formation energy (no corrections), eV/atom: -0.51
E, eV/atom: -7.521
Energy relative to the lowest polymorph listed for this composition, meV per atom: 123


[6]
A geometry-optimized Ta2Te2MoS4 structure. Source: Alexandria via LeMat-Bulk, functional GGA-PBE.

a = 3.3950 Å, b = 3.3950 Å, c = 21.4532 Å
α = 90.00°, β = 90.00°, γ = 120.00°
Last column: nearest neighbours and their distance in Å.
Space group P3m1 (No. 156)
Unique sites:
Ta  0.0000  0.0000  0.0000 x1  6 S 2.49-2.50
Ta  0.3333  0.6667  0.3155 x1  6 S 2.49-2.50
Te  0.0000  0.0000  0.5847 x1  3 Mo 2.72
Te  0.0000  0.0000  0.7604 x1  3 Mo 2.72
Mo  0.3333  0.6667  0.6725 x1  6 Te 2.72
S  0.0000  0.0000  0.2436 x1  3 Ta 2.49
S  0.0000  0.0000  0.3878 x1  3 Ta 2.50
S  0.3333  0.6667  0.0719 x1  3 Ta 2.49
S  0.3333  0.6667  0.9277 x1  3 Ta 2.50

Output
Formation energy (no corrections), eV/atom: -0.78
E, eV/atom: -7.149


[7]
A geometry-optimized ZrTaMoS2 structure. Source: Alexandria via LeMat-Bulk, functional GGA-PBE.

a = 4.6285 Å, b = 4.6285 Å, c = 5.0562 Å
α = 90.00°, β = 90.00°, γ = 90.00°
Last column: nearest neighbours and their distance in Å.
Space group P4/mmm (No. 123)
Unique sites:
Zr  0.0000  0.0000  0.0000 x1  4 Mo 3.27, 8 S 3.43
Ta  0.5000  0.5000  0.5000 x1  4 S 2.31, 2 Mo 2.53
Mo  0.5000  0.5000  0.0000 x1  2 Ta 2.53
S  0.0000  0.5000  0.5000 x2  2 Ta 2.31

Output
Formation energy (no corrections), eV/atom: 0.55
E, eV/atom: -7.351


[8]
A geometry-optimized TbMoS2 structure. Source: Alexandria via LeMat-Bulk, functional GGA-PBE.

a = 3.3639 Å, b = 3.3639 Å, c = 25.5933 Å
α = 90.00°, β = 90.00°, γ = 120.00°
Last column: nearest neighbours and their distance in Å.
Space group R-3m (No. 166, hexagonal axes)
Unique sites:
Tb  0.0000  0.0000  0.0000 x3  2 S 2.73
Mo  0.0000  0.0000  0.5000 x3  6 S 2.48
S  0.0000  0.0000  0.1065 x6  3 Mo 2.48, 1 Tb 2.73

Output
Formation energy (no corrections), eV/atom: -0.51
E, eV/atom: -6.443


[9]
A geometry-optimized TbMo6S8 structure. Source: Alexandria via LeMat-Bulk, functional GGA-PBE.

a = 9.1357 Å, b = 9.1357 Å, c = 11.3968 Å
α = 90.00°, β = 90.00°, γ = 120.00°
Last column: nearest neighbours and their distance in Å.
Space group R-3 (No. 148, hexagonal axes)
Unique sites:
Tb  0.0000  0.0000  0.0000 x3  8 S 2.72-2.99
Mo  0.0192  0.1782  0.4014 x18  5 S 2.41-2.59, 2 Mo 2.68
S  0.0000  0.0000  0.2389 x6  3 Mo 2.41
S  0.0027  0.6214  0.7497 x18  4 Mo 2.45-2.59

Output
Formation energy (no corrections), eV/atom: -0.91
E, eV/atom: -7.751


[10]
A geometry-optimized Tb3MoS6 structure. Source: Alexandria via LeMat-Bulk, functional GGA-PBE.

a = 10.6763 Å, b = 13.2324 Å, c = 6.6111 Å
α = 90.00°, β = 90.00°, γ = 90.00°
Last column: nearest neighbours and their distance in Å.
Space group Cmc2_1 (No. 36)
Unique sites:
Tb  0.0000  0.0979  0.0000 x4  7 S 2.75-2.97
Tb  0.1835  0.4012  0.9132 x8  7 S 2.71-2.95
Mo  0.0000  0.3065  0.3770 x4  4 S 2.35-2.40
S  0.0000  0.2779  0.7308 x4  1 Mo 2.37
S  0.0000  0.4671  0.2079 x4  1 Mo 2.40
S  0.1626  0.0289  0.7075 x8  4 Tb 2.71-2.78
S  0.1658  0.2356  0.1905 x8  1 Mo 2.35

Output
Formation energy (no corrections), eV/atom: -1.52
E, eV/atom: -6.467


[11]
A geometry-optimized TcMoS3 structure. Source: Alexandria via LeMat-Bulk, functional GGA-PBE.

a = 4.5380 Å, b = 4.5380 Å, c = 4.5380 Å
α = 90.00°, β = 90.00°, γ = 90.00°
Last column: nearest neighbours and their distance in Å.
Space group Pm-3m (No. 221)
Unique sites:
Tc  0.0000  0.0000  0.0000 x1  6 S 2.27
Mo  0.5000  0.5000  0.5000 x1  12 S 3.21
S  0.0000  0.0000  0.5000 x3  2 Tc 2.27

Output
Formation energy (no corrections), eV/atom: 0.94
E, eV/atom: -5.772
Energy relative to the lowest polymorph listed for this composition, meV per atom: 280


[12]
A geometry-optimized TcMo3S structure. Source: Alexandria via LeMat-Bulk, functional GGA-PBE.

a = 4.3737 Å, b = 4.3737 Å, c = 4.3737 Å
α = 90.00°, β = 90.00°, γ = 90.00°
Last column: nearest neighbours and their distance in Å.
Space group Pm-3m (No. 221)
Unique sites:
Tc  0.0000  0.0000  0.0000 x1  12 Mo 3.09
Mo  0.0000  0.5000  0.5000 x3  2 S 2.19
S  0.5000  0.5000  0.5000 x1  6 Mo 2.19

Output
Formation energy (no corrections), eV/atom: 0.68
E, eV/atom: -8.713
Energy relative to the lowest polymorph listed for this composition, meV per atom: 0